No. 1
# PBE Er6AlCd5, relaxed
data_Er6AlCd5
_chemical_formula_sum 'Er12 Al2 Cd10'
_space_group_name_H-M_alt 'C m m m'
_space_group_IT_number 65
_space_group_name_Hall '-C 2 2'
_cell_length_a 5.2093
_cell_length_b 15.6601
_cell_length_c 7.3929
_cell_angle_alpha 90.00
_cell_angle_beta 90.00
_cell_angle_gamma 90.00
loop_
_atom_site_label
_atom_site_type_symbol
_atom_site_fract_x
_atom_site_fract_y
_atom_site_fract_z
Er1 Er 0.0000 0.0000 0.2437
Er2 Er 0.0000 0.3361 0.2473
Al1 Al 0.0000 0.5000 0.0000
Cd1 Cd 0.0000 0.1669 0.5000
Cd2 Cd 0.0000 0.1689 0.0000
Cd3 Cd 0.0000 0.5000 0.5000
# - calculated formation energy (eV per atom) = -0.328

---

No. 2
# PBE RbSrAsBr2, relaxed
data_RbSrAsBr2
_chemical_formula_sum 'Rb1 Sr1 As1 Br2'
_space_group_name_H-M_alt 'P 4/m m m'
_space_group_IT_number 123
_space_group_name_Hall '-P 4 2'
_cell_length_a 6.0278
_cell_length_b 6.0278
_cell_length_c 6.2514
_cell_angle_alpha 90.00
_cell_angle_beta 90.00
_cell_angle_gamma 90.00
loop_
_atom_site_label
_atom_site_type_symbol
_atom_site_fract_x
_atom_site_fract_y
_atom_site_fract_z
Rb1 Rb 0.0000 0.0000 0.0000
Sr1 Sr 0.5000 0.5000 0.5000
As1 As 0.5000 0.5000 0.0000
Br1 Br 0.0000 0.5000 0.5000
# - formation energy from raw total energies (meV per atom) = -1082
# - energy relative to the lowest polymorph listed for this composition (eV per atom) = 0.000

---

No. 3
# PBE ZnCd4In7, relaxed
data_ZnCd4In7
_chemical_formula_sum 'Zn1 Cd4 In7'
_space_group_name_H-M_alt 'P -3 m 1'
_space_group_IT_number 164
_space_group_name_Hall '-P 3 2"'
_cell_length_a 3.4042
_cell_length_b 3.4042
_cell_length_c 29.8511
_cell_angle_alpha 90.00
_cell_angle_beta 90.00
_cell_angle_gamma 120.00
loop_
_atom_site_label
_atom_site_type_symbol
_atom_site_fract_x
_atom_site_fract_y
_atom_site_fract_z
Zn1 Zn 0.0000 0.0000 0.0000
Cd1 Cd 0.3333 0.6667 0.1541
Cd2 Cd 0.3333 0.6667 0.4132
In1 In 0.0000 0.0000 0.2381
In2 In 0.0000 0.0000 0.5000
In3 In 0.3333 0.6667 0.6723
In4 In 0.3333 0.6667 0.9289
# - calculated formation energy (eV per atom) = 0.045